# La4P GGA-PBEsol optimized geometry
data_La4P
_cell_length_a 3.986
_cell_length_b 3.986
_cell_length_c 19.494
_cell_angle_alpha 90.00
_cell_angle_beta 90.00
_cell_angle_gamma 90.00
_space_group_name_H-M_alt 'I 4/m m m'
_space_group_IT_number 139
_space_group_name_Hall '-I 4 2'
loop_
_atom_site_label
_atom_site_type_symbol
_atom_site_fract_x
_atom_site_fract_y
_atom_site_fract_z
La1 La 0.000 0.000 0.078
La2 La 0.000 0.500 0.250
P1 P 0.000 0.000 0.500
# calculated formation energy: -0.0357 eV/atom

***

# CaCuN3 GGA-PBEsol optimized geometry
data_CaCuN3
_cell_length_a 4.427
_cell_length_b 4.427
_cell_length_c 4.427
_cell_angle_alpha 90.00
_cell_angle_beta 90.00
_cell_angle_gamma 90.00
_space_group_name_H-M_alt 'P m -3 m'
_space_group_IT_number 221
_space_group_name_Hall '-P 4 2 3'
loop_
_atom_site_label
_atom_site_type_symbol
_atom_site_fract_x
_atom_site_fract_y
_atom_site_fract_z
Ca1 Ca 0.000 0.000 0.000
Cu1 Cu 0.500 0.500 0.500
N1 N 0.000 0.000 0.500
# ΔE_f (raw): 2.37 eV per atom

***

# Hg4Pb GGA-PBEsol optimized geometry
data_Hg4Pb
_cell_length_a 7.548
_cell_length_b 7.548
_cell_length_c 4.285
_cell_angle_alpha 90.00
_cell_angle_beta 90.00
_cell_angle_gamma 90.00
_space_group_name_H-M_alt 'I 4/m'
_space_group_IT_number 87
_space_group_name_Hall '-I 4'
loop_
_atom_site_label
_atom_site_type_symbol
_atom_site_fract_x
_atom_site_fract_y
_atom_site_fract_z
Hg1 Hg 0.100 0.308 0.000
Pb1 Pb 0.000 0.000 0.500
# calculated formation energy: 0.0095 eV/atom

***

These records have DOS(E_F) values of 12.11; 3.55; 4.02 states/eV/cell, in the order they appear.
These records have V values of 30.973; 17.351; 24.409 Å³/atom, in the order they appear.